[1]
KBeSn2 | PBE | optimized geometry

Results
Formation energy from the elements ... 0.23 eV/atom

a = 5.9005 Å, b = 5.9005 Å, c = 8.9817 Å
α = 70.82°, β = 70.82°, γ = 90.00°
Element x y z (fractional)
1 K 0.7500 0.2500 0.5000
2 K 0.0000 0.0000 0.0000
3 Be 0.2500 0.7500 0.5000
4 Be 0.5000 0.5000 0.0000
5 Sn 0.3751 0.6250 0.2500
6 Sn 0.3749 0.1250 0.2500
7 Sn 0.3750 0.6251 0.7500
8 Sn 0.8750 0.6249 0.7500

[2]
NdTmOsAu | PBE | optimized geometry

Results
Formation energy from the elements ... -0.39 eV/atom

a = 4.9988 Å, b = 4.9988 Å, c = 4.9988 Å
α = 60.00°, β = 60.00°, γ = 60.00°
Element x y z (fractional)
1 Os 0.5000 0.5000 0.5000
2 Tm 0.2500 0.2500 0.2500
3 Au 0.0000 0.0000 0.0000
4 Nd 0.7500 0.7500 0.7500

[3]
RhAu | PBE | optimized geometry

Results
Formation energy from the elements ... 0.22 eV/atom

a = 4.9089 Å, b = 4.9089 Å, c = 4.9089 Å
α = 33.53°, β = 33.53°, γ = 33.53°
Element x y z (fractional)
1 Au 0.0000 0.0000 0.0000
2 Rh 0.5000 0.5000 0.5000

[4]
Sr2LiTl | PBE | optimized geometry

Results
Formation energy from the elements ... -0.08 eV/atom

a = 11.1145 Å, b = 11.1145 Å, c = 11.1145 Å
α = 21.22°, β = 21.22°, γ = 21.22°
Element x y z (fractional)
1 Sr 0.9950 0.9950 0.9950
2 Sr 0.5050 0.5050 0.5050
3 Li 0.7500 0.7500 0.7500
4 Tl 0.2500 0.2500 0.2500

Which of these has the lowest formation energy from the elements? NdTmOsAu